Entry 1:
Co2Ag2P GGA-PBE relaxed; total DFT energy (no corrections) = -50.49 eV/cell; ΔH_f (0 K) = 0.02 eV per atom; N(E_F) = 0.651 states/eV/atom
1.0
5.575 0.000 0.000
0.000 5.575 0.000
0.000 0.000 4.586
Co Ag P
4 4 2
direct
0.147 0.353 0.000 Co
0.353 0.853 0.000 Co
0.647 0.147 0.000 Co
0.853 0.647 0.000 Co
0.173 0.673 0.500 Ag
0.327 0.173 0.500 Ag
0.673 0.827 0.500 Ag
0.827 0.327 0.500 Ag
0.000 0.000 0.000 P
0.500 0.500 0.000 P



Entry 2:
ZnHg2Ru GGA-PBE relaxed; total DFT energy (no corrections) = -9.23 eV/cell; ΔH_f (0 K) = 0.48 eV per atom; N(E_F) = 0.693 states/eV/atom
1.0
0.000 3.289 3.289
3.289 0.000 3.289
3.289 3.289 0.000
Zn Hg Ru
1 2 1
direct
0.000 0.000 0.000 Zn
0.250 0.250 0.250 Hg
0.500 0.500 0.500 Hg
0.750 0.750 0.750 Ru



Entry 3:
La2Tb5Nd4 GGA-PBE relaxed; total DFT energy (no corrections) = -50.50 eV/cell; ΔH_f (0 K) = 0.14 eV per atom; N(E_F) = 1.444 states/eV/atom
1.0
8.415 -3.391 0.000
8.415 3.391 0.000
-1.184 0.000 6.730
La Tb Nd
2 5 4
direct
0.199 0.199 0.300 La
0.801 0.801 0.700 La
0.000 0.000 0.500 Tb
0.172 0.652 0.094 Tb
0.348 0.828 0.906 Tb
0.652 0.172 0.094 Tb
0.828 0.348 0.906 Tb
0.244 0.244 0.806 Nd
0.413 0.413 0.594 Nd
0.587 0.587 0.406 Nd
0.756 0.756 0.194 Nd



Entry 4:
Na3Cd2Hg8 GGA-PBE relaxed; total DFT energy (no corrections) = -9.84 eV/cell; ΔH_f (0 K) = -0.13 eV per atom; N(E_F) = 0.302 states/eV/atom
1.0
4.995 -4.872 0.000
4.995 4.872 0.000
-4.797 0.000 7.127
Na Cd Hg
3 2 8
direct
0.000 0.000 0.000 Na
0.255 0.745 0.500 Na
0.745 0.255 0.500 Na
0.228 0.228 0.454 Cd
0.772 0.772 0.546 Cd
0.159 0.159 0.780 Hg
0.165 0.611 0.786 Hg
0.379 0.379 0.204 Hg
0.389 0.835 0.214 Hg
0.611 0.165 0.786 Hg
0.621 0.621 0.796 Hg
0.835 0.389 0.214 Hg
0.841 0.841 0.220 Hg



What is the ΔH_f (0 K) in the third record?
0.14 eV per atom



What is the formula in the first record?
Co2Ag2P